Density functional theory data (GGA-PBE) for crystalline NaUPO5 at its relaxed geometry.

The crystal system is monoclinic. The magnetic moment is 0.25 μB/atom. The value obtained for the formation energy from raw total energies is -2.6029 eV/atom. Its total DFT energy (no corrections) is -7.9540 eV per atom. The value obtained for the mass density is 5.065 g/cm3.

Unit cell a=7.4670 b=9.1048 c=7.8897 alpha=90.00 beta=114.58 gamma=90.00
Space group C2/c (No. 15)
Unique sites:
Na 0.0000 0.1648 0.2500 (multiplicity 4)
U 0.0000 0.5000 0.0000 (multiplicity 4)
P 0.0000 0.1657 0.7500 (multiplicity 4)
O 0.0000 0.4142 0.2500 (multiplicity 4)
O 0.0739 0.2639 0.6301 (multiplicity 8)
O 0.1676 0.0624 0.8796 (multiplicity 8)